(1)
VASP calculation (PBEsol) on a relaxed structure of LaNi2Rh.

Geometry as POSCAR:
```
LaNi2Rh
1.0
4.186 0.000 0.000
-2.093 3.626 -0.031
0.000 -2.372 4.675
Rh Ni La
1 2 1
direct
0.500 0.000 0.000 Rh
0.809 0.619 0.928 Ni
0.191 0.381 0.072 Ni
0.000 0.000 0.500 La
```

Computed properties:
space group: R-3m (166)
VASP energy: -27.102 eV per cell

(2)
VASP calculation (PBEsol) on a relaxed structure of LaNi3Rh2.

Geometry as POSCAR:
```
LaNi3Rh2
1.0
-0.317 -3.085 2.748
3.865 1.875 2.550
-4.654 1.451 1.093
La Ni Rh
1 3 2
direct
0.000 0.000 0.000 La
0.500 0.500 0.000 Ni
0.500 0.000 0.500 Ni
0.500 0.500 0.500 Ni
0.000 0.667 0.333 Rh
0.000 0.333 0.667 Rh
```

Computed properties:
space group: P6/mmm (191)
VASP energy: -41.526 eV per cell

(3)
VASP calculation (PBEsol) on a relaxed structure of LaNi2Rh.

Geometry as POSCAR:
```
LaNi2Rh
1.0
-0.850 2.007 -2.050
-0.173 -2.619 -2.493
-5.543 -0.943 1.374
La Ni Rh
1 2 1
direct
0.500 0.500 0.500 La
0.000 0.000 0.800 Ni
0.000 0.000 0.200 Ni
0.500 0.500 0.000 Rh
```

Computed properties:
space group: Pmmm (47)
VASP energy: -25.783 eV per cell

(4)
VASP calculation (PBEsol) on a relaxed structure of La2NiRu.

Geometry as POSCAR:
```
La2NiRu
1.0
3.916 0.000 0.000
0.000 4.022 0.000
-1.958 0.000 5.556
La Ni Ru
2 1 1
direct
0.392 0.500 0.784 La
0.114 0.000 0.227 La
0.825 0.000 0.650 Ni
0.675 0.500 0.350 Ru
```

Computed properties:
space group: Amm2 (38)
VASP energy: -27.853 eV per cell

(5)
VASP calculation (PBEsol) on a relaxed structure of La3NiRu.

Geometry as POSCAR:
```
La3NiRu
1.0
-3.751 -2.356 2.593
0.641 -4.196 -2.886
3.445 -1.785 3.360
La Ni Ru
3 1 1
direct
0.000 0.000 0.500 La
0.000 0.500 0.000 La
0.500 0.000 0.000 La
0.000 0.000 0.000 Ni
0.500 0.500 0.500 Ru
```

Computed properties:
space group: Pm-3m (221)
VASP energy: -30.200 eV per cell

(6)
VASP calculation (PBEsol) on a relaxed structure of LaNiRu.

Geometry as POSCAR:
```
LaNiRu
1.0
-4.468 -2.297 0.614
3.915 -1.136 3.377
-2.363 4.665 0.251
La Ni Ru
2 2 2
direct
0.378 0.756 0.628 La
0.622 0.244 0.372 La
0.000 0.000 0.500 Ni
0.000 0.000 0.000 Ni
0.000 0.500 0.000 Ru
0.500 0.500 0.000 Ru
```

Computed properties:
space group: Imma (74)
VASP energy: -44.838 eV per cell

(7)
VASP calculation (PBEsol) on a relaxed structure of La2NiRu.

Geometry as POSCAR:
```
La2NiRu
1.0
-0.089 1.165 -3.249
-3.359 -0.776 -0.187
-1.637 6.514 2.356
Ni La Ru
1 2 1
direct
0.500 0.500 0.000 Ni
0.001 0.000 0.750 La
0.999 0.000 0.250 La
0.500 0.500 0.500 Ru
```

Computed properties:
space group: P2/m (10)
VASP energy: -27.587 eV per cell

(8)
VASP calculation (PBEsol) on a relaxed structure of La2NiSb.

Geometry as POSCAR:
```
La2NiSb
1.0
-3.769 -0.262 -2.037
-0.677 -3.121 -2.869
-3.984 -5.338 3.536
La Sb Ni
2 1 1
direct
0.240 0.240 0.281 La
0.760 0.760 0.719 La
0.000 0.000 0.000 Sb
0.500 0.500 0.500 Ni
```

Computed properties:
energy relative to the elements, uncorrected: -0.550 eV per atom
space group: R-3m (166)

(9)
VASP calculation (PBEsol) on a relaxed structure of LaNi2Sb.

Geometry as POSCAR:
```
LaNi2Sb
1.0
3.247 0.000 0.000
0.000 4.543 0.000
-1.624 -2.271 5.040
Ni Sb La
2 1 1
direct
0.748 0.248 0.497 Ni
0.045 0.045 0.089 Ni
0.466 0.466 0.931 Sb
0.241 0.741 0.483 La
```

Computed properties:
energy relative to the elements, uncorrected: -0.150 eV per atom
space group: Imm2 (44)

(10)
VASP calculation (PBEsol) on a relaxed structure of LaNi2Sb.

Geometry as POSCAR:
```
LaNi2Sb
1.0
-0.199 -3.575 1.864
3.622 -0.979 -1.490
0.343 4.132 3.589
Sb Ni La
1 2 1
direct
0.500 0.500 0.000 Sb
0.000 0.000 0.000 Ni
0.750 0.250 0.500 Ni
0.250 0.750 0.500 La
```

Computed properties:
energy relative to the elements, uncorrected: -0.078 eV per atom
space group: I-4m2 (119)

(11)
VASP calculation (PBEsol) on a relaxed structure of LaNi2Sb.

Geometry as POSCAR:
```
LaNi2Sb
1.0
-0.521 1.610 -2.860
-3.030 -1.349 -0.207
-2.549 5.202 3.394
Ni La Sb
2 1 1
direct
0.500 0.500 0.236 Ni
0.000 0.000 0.048 Ni
0.500 0.500 0.800 La
0.000 0.000 0.416 Sb
```

Computed properties:
energy relative to the elements, uncorrected: -0.226 eV per atom
space group: P4mm (99)

(12)
VASP calculation (PBEsol) on a relaxed structure of LaNiSb2.

Geometry as POSCAR:
```
LaNiSb2
1.0
3.495 0.000 0.000
0.000 3.486 0.000
0.000 0.000 7.247
Sb La Ni
2 1 1
direct
0.000 0.000 0.694 Sb
0.000 0.000 0.306 Sb
0.500 0.500 0.000 La
0.500 0.500 0.500 Ni
```

Computed properties:
energy relative to the elements, uncorrected: -0.278 eV per atom
space group: P4/mmm (123)

(13)
VASP calculation (PBEsol) on a relaxed structure of LaNiSb2.

Geometry as POSCAR:
```
LaNiSb2
1.0
4.380 0.000 0.000
0.000 4.380 0.000
0.000 0.000 9.828
Sb La Ni
4 2 2
direct
0.000 0.500 0.871 Sb
0.500 0.500 0.500 Sb
0.000 0.000 0.500 Sb
0.500 0.000 0.129 Sb
0.000 0.500 0.240 La
0.500 0.000 0.760 La
0.000 0.000 0.000 Ni
0.500 0.500 0.000 Ni
```

Computed properties:
energy relative to the elements, uncorrected: -0.800 eV per atom
space group: P4/nmm (129)

(14)
VASP calculation (PBEsol) on a relaxed structure of La2NiSb.

Geometry as POSCAR:
```
La2NiSb
1.0
4.241 0.000 0.000
2.121 3.673 0.000
2.121 1.224 7.453
Ni La Sb
1 2 1
direct
0.527 0.527 0.420 Ni
0.786 0.786 0.643 La
0.972 0.972 0.085 La
0.216 0.216 0.352 Sb
```

Computed properties:
energy relative to the elements, uncorrected: -0.513 eV per atom
space group: R3m (160)

(15)
VASP calculation (PBEsol) on a relaxed structure of LaNi2Sb.

Geometry as POSCAR:
```
LaNi2Sb
1.0
3.547 0.000 0.000
0.000 4.541 0.000
0.000 0.000 4.541
Sb Ni La
1 2 1
direct
0.500 0.500 0.500 Sb
0.000 0.500 0.000 Ni
0.000 0.000 0.500 Ni
0.500 0.000 0.000 La
```

Computed properties:
energy relative to the elements, uncorrected: -0.240 eV per atom
space group: P4/mmm (123)

(16)
VASP calculation (PBEsol) on a relaxed structure of LaNi2Sb.

Geometry as POSCAR:
```
LaNi2Sb
1.0
3.308 0.000 0.000
0.000 3.308 0.000
0.000 0.000 6.682
Sb Ni La
1 2 1
direct
0.500 0.500 0.000 Sb
0.000 0.000 0.198 Ni
0.000 0.000 0.802 Ni
0.500 0.500 0.500 La
```

Computed properties:
energy relative to the elements, uncorrected: -0.157 eV per atom
space group: P4/mmm (123)

(17)
VASP calculation (PBEsol) on a relaxed structure of LaNi2Sb.

Geometry as POSCAR:
```
LaNi2Sb
1.0
-1.661 3.641 0.736
-3.251 -1.822 1.676
2.301 0.121 4.594
Ni La Sb
2 1 1
direct
0.000 0.000 0.271 Ni
0.000 0.000 0.729 Ni
0.500 0.500 0.500 La
0.500 0.000 0.000 Sb
```

Computed properties:
energy relative to the elements, uncorrected: -0.329 eV per atom
space group: Pmmm (47)

(18)
VASP calculation (PBEsol) on a relaxed structure of La2Ni2Sb.

Geometry as POSCAR:
```
La2Ni2Sb
1.0
-1.091 1.864 -3.434
-6.886 0.131 2.260
1.150 6.436 3.129
La Ni Sb
4 4 2
direct
0.500 0.182 0.682 La
0.500 0.682 0.818 La
0.500 0.318 0.182 La
0.500 0.818 0.318 La
0.000 0.881 0.619 Ni
0.000 0.119 0.381 Ni
0.000 0.619 0.119 Ni
0.000 0.381 0.881 Ni
0.000 0.000 0.000 Sb
0.000 0.500 0.500 Sb
```

Computed properties:
energy relative to the elements, uncorrected: -0.627 eV per atom
space group: P4/mbm (127)

(19)
VASP calculation (PBEsol) on a relaxed structure of La2ScNi2.

Geometry as POSCAR:
```
La2ScNi2
1.0
-2.742 1.462 -2.390
-2.959 -6.751 -0.736
-4.391 1.290 5.826
Ni La Sc
4 4 2
direct
0.000 0.875 0.625 Ni
0.000 0.125 0.375 Ni
0.000 0.375 0.875 Ni
0.000 0.625 0.125 Ni
0.500 0.827 0.327 La
0.500 0.173 0.673 La
0.500 0.673 0.827 La
0.500 0.327 0.173 La
0.000 0.000 0.000 Sc
0.000 0.500 0.500 Sc
```

Computed properties:
space group: P4/mbm (127)
VASP energy: -61.587 eV per cell

(20)
VASP calculation (PBEsol) on a relaxed structure of LaScNi4.

Geometry as POSCAR:
```
LaScNi4
1.0
4.971 0.000 0.000
2.486 4.305 0.000
2.486 1.435 4.059
La Ni Sc
1 4 1
direct
0.000 0.000 0.000 La
0.624 0.624 0.128 Ni
0.624 0.624 0.624 Ni
0.128 0.624 0.624 Ni
0.624 0.128 0.624 Ni
0.250 0.250 0.250 Sc
```

Computed properties:
space group: F-43m (216)
VASP energy: -38.914 eV per cell

(21)
VASP calculation (PBEsol) on a relaxed structure of LaY2ScNi.

Geometry as POSCAR:
```
LaY2ScNi
1.0
5.252 0.000 0.000
0.000 5.252 0.000
0.000 0.000 5.391
Sc La Ni Y
1 1 1 2
direct
0.000 0.000 0.000 Sc
0.000 0.000 0.500 La
0.500 0.500 0.500 Ni
0.000 0.500 0.000 Y
0.500 0.000 0.000 Y
```

Computed properties:
space group: P4/mmm (123)
VASP energy: -26.354 eV per cell

(22)
VASP calculation (PBEsol) on a relaxed structure of LaNi2Se2.

Geometry as POSCAR:
```
LaNi2Se2
1.0
3.897 0.000 0.000
0.000 3.897 0.000
-1.948 -1.948 5.692
Ni Se La
2 2 1
direct
0.750 0.250 0.500 Ni
0.250 0.750 0.500 Ni
0.635 0.635 0.269 Se
0.365 0.365 0.731 Se
0.000 0.000 0.000 La
```

Computed properties:
energy relative to the elements, uncorrected: -0.922 eV per atom
space group: I4/mmm (139)

(23)
VASP calculation (PBEsol) on a relaxed structure of LaNi2Se.

Geometry as POSCAR:
```
LaNi2Se
1.0
3.527 0.039 0.000
-0.040 3.527 0.000
0.000 0.000 5.695
Se Ni La
1 2 1
direct
0.500 0.500 0.500 Se
0.000 0.000 0.710 Ni
0.000 0.000 0.290 Ni
0.500 0.500 0.000 La
```

Computed properties:
energy relative to the elements, uncorrected: -0.163 eV per atom
space group: P4/mmm (123)

(24)
VASP calculation (PBEsol) on a relaxed structure of LaSi2Ni9.

Geometry as POSCAR:
```
LaSi2Ni9
1.0
-1.334 3.837 4.609
-2.364 -3.439 6.274
5.831 1.508 4.527
La Ni Si
2 18 4
direct
0.000 0.000 0.000 La
0.750 0.500 0.500 La
0.500 0.000 0.000 Ni
0.188 0.579 0.171 Ni
0.640 0.421 0.171 Ni
0.562 0.921 0.329 Ni
0.233 0.579 0.829 Ni
0.110 0.329 0.079 Ni
0.233 0.829 0.579 Ni
0.517 0.921 0.671 Ni
0.640 0.171 0.421 Ni
0.188 0.171 0.579 Ni
0.812 0.079 0.671 Ni
0.938 0.421 0.829 Ni
0.562 0.329 0.921 Ni
0.250 0.500 0.500 Ni
0.812 0.671 0.079 Ni
0.517 0.671 0.921 Ni
0.110 0.079 0.329 Ni
0.938 0.829 0.421 Ni
0.375 0.250 0.750 Si
0.375 0.250 0.250 Si
0.375 0.750 0.250 Si
0.875 0.750 0.750 Si
```

Computed properties:
energy relative to the elements, uncorrected: -0.499 eV per atom
space group: I4_1/amd (141)

(25)
VASP calculation (PBEsol) on a relaxed structure of LaSi2Ni2.

Geometry as POSCAR:
```
LaSi2Ni2
1.0
-1.753 -3.512 1.080
2.083 0.036 3.498
-3.720 4.156 -0.198
Ni Si La
2 2 1
direct
0.250 0.750 0.500 Ni
0.750 0.250 0.500 Ni
0.633 0.633 0.267 Si
0.367 0.367 0.733 Si
0.000 0.000 0.000 La
```

Computed properties:
energy relative to the elements, uncorrected: -0.829 eV per atom
space group: I4/mmm (139)

(26)
VASP calculation (PBEsol) on a relaxed structure of LaSi2Ni.

Geometry as POSCAR:
```
LaSi2Ni
1.0
3.120 0.000 0.000
0.000 3.120 0.000
0.000 0.000 6.842
Ni Si La
1 2 1
direct
0.500 0.500 0.500 Ni
0.000 0.000 0.677 Si
0.000 0.000 0.323 Si
0.500 0.500 0.000 La
```

Computed properties:
energy relative to the elements, uncorrected: -0.355 eV per atom
space group: P4/mmm (123)

(27)
VASP calculation (PBEsol) on a relaxed structure of LaSi2Ni.

Geometry as POSCAR:
```
LaSi2Ni
1.0
4.078 0.000 0.000
0.000 4.172 0.000
0.000 2.086 8.218
Si Ni La
4 2 2
direct
0.250 0.750 0.499 Si
0.250 0.459 0.082 Si
0.750 0.541 0.918 Si
0.750 0.250 0.501 Si
0.750 0.682 0.636 Ni
0.250 0.318 0.364 Ni
0.750 0.893 0.215 La
0.250 0.107 0.785 La
```

Computed properties:
energy relative to the elements, uncorrected: -0.881 eV per atom
space group: Cmcm (63)

(28)
VASP calculation (PBEsol) on a relaxed structure of LaSi2Ni.

Geometry as POSCAR:
```
LaSi2Ni
1.0
-2.550 -2.993 1.185
1.781 -2.692 -2.967
2.989 -1.351 3.020
La Si Ni
1 2 1
direct
0.000 0.500 0.516 La
0.500 0.000 0.728 Si
0.000 0.000 0.022 Si
0.500 0.000 0.233 Ni
```

Computed properties:
energy relative to the elements, uncorrected: -0.501 eV per atom
space group: Pmm2 (25)